Record 1
The following is a PBE-GGA calculation of a geometry-optimized LiPmYTm structure, from Alexandria via LeMat-Bulk.

Its space group is No. 216. The formation energy comes out at 0.16 eV per atom. The value obtained for the total energy is -4.242 eV/atom.

a b c (Å): 5.5037 5.5037 5.5037
angles (deg): 60.00 60.00 60.00
Atoms (fractional coordinates):
Li 0.0000 0.0000 0.0000
Pm 0.2500 0.2500 0.2500
Y 0.7500 0.7500 0.7500
Tm 0.5000 0.5000 0.5000


Record 2
The following is a PBE-GGA calculation of a geometry-optimized LiPmTmZn structure, from Alexandria via LeMat-Bulk.

Its space group is No. 216. The formation energy comes out at -0.11 eV per atom. The value obtained for the total energy is -3.214 eV/atom.

a b c (Å): 5.1350 5.1350 5.1350
angles (deg): 60.00 60.00 60.00
Atoms (fractional coordinates):
Li 0.0000 0.0000 0.0000
Pm 0.7500 0.7500 0.7500
Tm 0.2500 0.2500 0.2500
Zn 0.5000 0.5000 0.5000


Record 3
The following is a PBE-GGA calculation of a geometry-optimized LiPm2Y structure, from Alexandria via LeMat-Bulk.

Its polymorph energy (0 for the lowest one) is 0.000 eV/atom. Its space group is No. 123. The formation energy comes out at 0.07 eV per atom. The value obtained for the total energy is -4.402 eV/atom.

a b c (Å): 3.6615 3.6615 9.0970
angles (deg): 90.00 90.00 90.00
Atoms (fractional coordinates):
Li 0.0000 0.0000 0.0000
Pm 0.5000 0.5000 0.2255
Pm 0.5000 0.5000 0.7745
Y 0.0000 0.0000 0.5000


Record 4
The following is a PBE-GGA calculation of a geometry-optimized LiPmY2 structure, from Alexandria via LeMat-Bulk.

Its polymorph energy (0 for the lowest one) is 0.051 eV/atom. Its space group is No. 160. The formation energy comes out at 0.12 eV per atom. The value obtained for the total energy is -4.783 eV/atom.

a b c (Å): 11.4476 11.4476 11.4476
angles (deg): 17.87 17.87 17.87
Atoms (fractional coordinates):
Li 0.0000 0.0000 0.0000
Pm 0.1665 0.1665 0.1665
Y 0.4128 0.4128 0.4128
Y 0.5868 0.5868 0.5868


Record 5
The following is a PBE-GGA calculation of a geometry-optimized LiPmY2 structure, from Alexandria via LeMat-Bulk.

Its polymorph energy (0 for the lowest one) is 0.136 eV/atom. Its space group is No. 166. The formation energy comes out at 0.20 eV per atom. The value obtained for the total energy is -4.698 eV/atom.

a b c (Å): 12.4269 12.4269 12.4269
angles (deg): 16.20 16.20 16.20
Atoms (fractional coordinates):
Li 0.0000 0.0000 0.0000
Pm 0.5000 0.5000 0.5000
Y 0.0880 0.0880 0.0880
Y 0.9120 0.9120 0.9120


Record 6
The following is a PBE-GGA calculation of a geometry-optimized LiPm2Y structure, from Alexandria via LeMat-Bulk.

Its polymorph energy (0 for the lowest one) is 0.099 eV/atom. Its space group is No. 166. The formation energy comes out at 0.17 eV per atom. The value obtained for the total energy is -4.303 eV/atom.

a b c (Å): 12.5402 12.5402 12.5402
angles (deg): 16.15 16.15 16.15
Atoms (fractional coordinates):
Li 0.0000 0.0000 0.0000
Pm 0.0888 0.0888 0.0888
Pm 0.9112 0.9112 0.9112
Y 0.5000 0.5000 0.5000


Record 7
The following is a PBE-GGA calculation of a geometry-optimized LiPmY2 structure, from Alexandria via LeMat-Bulk.

Its polymorph energy (0 for the lowest one) is 0.137 eV/atom. Its space group is No. 225. The formation energy comes out at 0.20 eV per atom. The value obtained for the total energy is -4.696 eV/atom.

a b c (Å): 5.5508 5.5508 5.5508
angles (deg): 60.00 60.00 60.00
Atoms (fractional coordinates):
Li 0.0000 0.0000 0.0000
Pm 0.5000 0.5000 0.5000
Y 0.2500 0.2500 0.2500
Y 0.7500 0.7500 0.7500


Record 8
The following is a PBE-GGA calculation of a geometry-optimized Li4PmY structure, from Alexandria via LeMat-Bulk.

Its space group is No. 216. The formation energy comes out at 0.11 eV per atom. The value obtained for the total energy is -3.038 eV/atom.

a b c (Å): 5.8959 5.8959 5.8959
angles (deg): 60.00 60.00 60.00
Atoms (fractional coordinates):
Li 0.1247 0.1247 0.1247
Li 0.1247 0.1247 0.6260
Li 0.1247 0.6260 0.1247
Li 0.6260 0.1247 0.1247
Pm 0.5000 0.5000 0.5000
Y 0.7500 0.7500 0.7500


Record 9
The following is a PBE-GGA calculation of a geometry-optimized LiPm2Y structure, from Alexandria via LeMat-Bulk.

Its polymorph energy (0 for the lowest one) is 0.054 eV/atom. Its space group is No. 156. The formation energy comes out at 0.12 eV per atom. The value obtained for the total energy is -4.348 eV/atom.

a b c (Å): 3.5466 3.5466 11.8790
angles (deg): 90.00 90.00 120.00
Atoms (fractional coordinates):
Li 0.0000 0.0000 0.0000
Pm 0.0000 0.0000 0.7262
Pm 0.6667 0.3333 0.2380
Y 0.3333 0.6667 0.4843


Record 10
The following is a PBE-GGA calculation of a geometry-optimized LiPmY2 structure, from Alexandria via LeMat-Bulk.

Its polymorph energy (0 for the lowest one) is 0.000 eV/atom. Its space group is No. 123. The formation energy comes out at 0.06 eV per atom. The value obtained for the total energy is -4.834 eV/atom.

a b c (Å): 3.6666 3.6666 8.8197
angles (deg): 90.00 90.00 90.00
Atoms (fractional coordinates):
Li 0.0000 0.0000 0.0000
Pm 0.0000 0.0000 0.5000
Y 0.5000 0.5000 0.2159
Y 0.5000 0.5000 0.7841


Record 11
The following is a PBE-GGA calculation of a geometry-optimized LiPm2Y structure, from Alexandria via LeMat-Bulk.

Its polymorph energy (0 for the lowest one) is 0.008 eV/atom. Its space group is No. 160. The formation energy comes out at 0.08 eV per atom. The value obtained for the total energy is -4.394 eV/atom.

a b c (Å): 11.6027 11.6027 11.6027
angles (deg): 17.67 17.67 17.67
Atoms (fractional coordinates):
Li 0.0000 0.0000 0.0000
Pm 0.2515 0.2515 0.2515
Pm 0.4150 0.4150 0.4150
Y 0.8332 0.8332 0.8332


Record 12
The following is a PBE-GGA calculation of a geometry-optimized LiPm2Y structure, from Alexandria via LeMat-Bulk.

Its polymorph energy (0 for the lowest one) is 0.110 eV/atom. Its space group is No. 225. The formation energy comes out at 0.18 eV per atom. The value obtained for the total energy is -4.292 eV/atom.

a b c (Å): 5.5876 5.5876 5.5876
angles (deg): 60.00 60.00 60.00
Atoms (fractional coordinates):
Li 0.0000 0.0000 0.0000
Pm 0.2500 0.2500 0.2500
Pm 0.7500 0.7500 0.7500
Y 0.5000 0.5000 0.5000


Record 13
The following is a PBE-GGA calculation of a geometry-optimized LiPmY2 structure, from Alexandria via LeMat-Bulk.

Its polymorph energy (0 for the lowest one) is 0.103 eV/atom. Its space group is No. 123. The formation energy comes out at 0.17 eV per atom. The value obtained for the total energy is -4.731 eV/atom.

a b c (Å): 5.7007 5.7007 3.7196
angles (deg): 90.00 90.00 90.00
Atoms (fractional coordinates):
Li 0.0000 0.0000 0.0000
Pm 0.5000 0.5000 0.0000
Y 0.0000 0.5000 0.5000
Y 0.5000 0.0000 0.5000


Record 14
The following is a PBE-GGA calculation of a geometry-optimized LiPmYZn structure, from Alexandria via LeMat-Bulk.

Its polymorph energy (0 for the lowest one) is 0.004 eV/atom. Its space group is No. 216. The formation energy comes out at -0.12 eV per atom. The value obtained for the total energy is -3.724 eV/atom.

a b c (Å): 5.1791 5.1791 5.1791
angles (deg): 60.00 60.00 60.00
Atoms (fractional coordinates):
Li 0.0000 0.0000 0.0000
Pm 0.2500 0.2500 0.2500
Y 0.7500 0.7500 0.7500
Zn 0.5000 0.5000 0.5000


Record 15
The following is a PBE-GGA calculation of a geometry-optimized LiPmYZn structure, from Alexandria via LeMat-Bulk.

Its polymorph energy (0 for the lowest one) is 0.000 eV/atom. Its space group is No. 99. The formation energy comes out at -0.13 eV per atom. The value obtained for the total energy is -3.729 eV/atom.

a b c (Å): 3.6765 3.6765 7.4184
angles (deg): 90.00 90.00 90.00
Atoms (fractional coordinates):
Li 0.0000 0.0000 0.0000
Pm 0.5000 0.5000 0.2736
Y 0.5000 0.5000 0.7393
Zn 0.0000 0.0000 0.5147


Record 16
The following is a PBE-GGA calculation of a geometry-optimized Li2PmZn structure, from Alexandria via LeMat-Bulk.

Its polymorph energy (0 for the lowest one) is 0.021 eV/atom. Its space group is No. 123. The formation energy comes out at 0.01 eV per atom. The value obtained for the total energy is -2.449 eV/atom.

a b c (Å): 3.4294 3.4294 7.1241
angles (deg): 90.00 90.00 90.00
Atoms (fractional coordinates):
Li 0.0000 0.0000 0.1844
Li 0.0000 0.0000 0.8156
Pm 0.5000 0.5000 0.5000
Zn 0.5000 0.5000 0.0000


Record 17
The following is a PBE-GGA calculation of a geometry-optimized LiPmZn3 structure, from Alexandria via LeMat-Bulk.

Its polymorph energy (0 for the lowest one) is 0.000 eV/atom. Its space group is No. 1. The formation energy comes out at -0.22 eV per atom. The value obtained for the total energy is -2.322 eV/atom.

a b c (Å): 4.9163 4.9181 9.0323
angles (deg): 98.19 98.89 116.17
Atoms (fractional coordinates):
Li 0.0000 0.0000 0.0000
Li 0.2327 0.2306 0.3170
Pm 0.4498 0.7841 0.1596
Pm 0.7171 0.5175 0.6588
Zn 0.1740 0.3216 0.8153
Zn 0.3266 0.8081 0.5073
Zn 0.4283 0.9105 0.8101
Zn 0.7367 0.4004 0.0138
Zn 0.8335 0.4955 0.3052
Zn 0.9176 0.0663 0.5049


Record 18
The following is a PBE-GGA calculation of a geometry-optimized Li4PmZn2 structure, from Alexandria via LeMat-Bulk.

Its space group is No. 65. The formation energy comes out at -0.11 eV per atom. The value obtained for the total energy is -2.249 eV/atom.

a b c (Å): 9.0529 9.0529 4.1590
angles (deg): 90.00 90.00 155.45
Atoms (fractional coordinates):
Li 0.1773 0.8227 0.0000
Li 0.3158 0.6842 0.5000
Li 0.6842 0.3158 0.5000
Li 0.8227 0.1773 0.0000
Pm 0.5000 0.5000 0.0000
Zn 0.0775 0.9225 0.5000
Zn 0.9225 0.0775 0.5000


Record 19
The following is a PBE-GGA calculation of a geometry-optimized LiPmZn10 structure, from Alexandria via LeMat-Bulk.

Its space group is No. 47. The formation energy comes out at -0.18 eV per atom. The value obtained for the total energy is -1.799 eV/atom.

a b c (Å): 4.3396 5.1077 9.2646
angles (deg): 90.00 90.00 90.00
Atoms (fractional coordinates):
Li 0.0000 0.0000 0.0000
Pm 0.0000 0.5000 0.5000
Zn 0.0000 0.0000 0.3037
Zn 0.0000 0.0000 0.6963
Zn 0.0000 0.5000 0.1516
Zn 0.0000 0.5000 0.8484
Zn 0.5000 0.0000 0.5000
Zn 0.5000 0.2564 0.2578
Zn 0.5000 0.2564 0.7422
Zn 0.5000 0.5000 0.0000
Zn 0.5000 0.7436 0.2578
Zn 0.5000 0.7436 0.7422


Record 20
The following is a PBE-GGA calculation of a geometry-optimized LiPm2Zn5 structure, from Alexandria via LeMat-Bulk.

Its polymorph energy (0 for the lowest one) is 0.000 eV/atom. Its space group is No. 63. The formation energy comes out at -0.24 eV per atom. The value obtained for the total energy is -2.458 eV/atom.

a b c (Å): 8.5207 8.5207 8.9795
angles (deg): 90.00 90.00 150.10
Atoms (fractional coordinates):
Li 0.0545 0.9455 0.7500
Li 0.9455 0.0545 0.2500
Pm 0.2978 0.7022 0.2500
Pm 0.5000 0.5000 0.0000
Pm 0.5000 0.5000 0.5000
Pm 0.7022 0.2978 0.7500
Zn 0.0992 0.9008 0.2500
Zn 0.1487 0.8513 0.5223
Zn 0.1487 0.8513 0.9777
Zn 0.3139 0.6861 0.6058
Zn 0.3139 0.6861 0.8942
Zn 0.6861 0.3139 0.1058
Zn 0.6861 0.3139 0.3942
Zn 0.8513 0.1487 0.0223
Zn 0.8513 0.1487 0.4777
Zn 0.9008 0.0992 0.7500


The evaluated calculated volume for the records listed, in turn: 29.47; 23.94; 30.49; 30.84; 32.55; 33.24; 30.23; 24.15; 32.35; 29.64; 31.43; 30.84; 30.22; 24.56; 25.07; 20.95; 18.81; 20.23; 17.11; 20.31 A^3/atom.